Record 1
Ba6PtN2: relaxed, PBE.

Calculated values
* uncorrected energy: -37.65 eV for the cell shown
* uncorrected formation energy: -0.38 eV/atom
* volume: 42.2 Å³/atom

Cell lengths 4.7452, 7.9960, 10.6091 Å; angles 98.42, 90.00, 107.26 degrees
Element x y z (fractional)
Ba 0.8818 0.7636 0.7405
Ba 0.6272 0.2544 0.6153
Ba 0.1736 0.3473 0.9087
Ba 0.8264 0.6527 0.0913
Ba 0.3728 0.7456 0.3847
Ba 0.1182 0.2364 0.2595
N 0.7413 0.4826 0.8415
N 0.2587 0.5174 0.1585
Pt 0.0000 0.0000 0.5000

=====

Record 2
BaPt3N: relaxed, PBE.

Calculated values
* uncorrected energy: -15.35 eV for the cell shown
* uncorrected formation energy: 2.60 eV/atom
* E above lowest polymorph: 2.3419 eV/atom
* volume: 33.8 Å³/atom

Cell lengths 5.5273, 5.5273, 5.5273 Å; angles 90.00, 90.00, 90.00 degrees
Site moments in Bohr magnetons follow the coordinates.
Element x y z (fractional)
Pt 0.5000 0.0000 0.0000  0.07
Pt 0.0000 0.5000 0.0000  0.06
Pt 0.0000 0.0000 0.5000  0.07
N 0.5000 0.5000 0.5000  1.85
Ba 0.0000 0.0000 0.0000  0.00

=====

Record 3
BaPtN2: relaxed, PBE.

Calculated values
* uncorrected energy: -46.74 eV for the cell shown
* uncorrected formation energy: 0.31 eV/atom
* E above lowest polymorph: 0.2188 eV/atom
* volume: 18.7 Å³/atom

Cell lengths 5.3263, 5.3263, 6.4886 Å; angles 65.77, 65.77, 90.00 degrees
Element x y z (fractional)
N 0.8750 0.9866 0.7500
N 0.3750 0.2634 0.7500
N 0.0134 0.6250 0.2500
N 0.7366 0.1250 0.2500
Pt 0.0000 0.0000 0.0000
Pt 0.7500 0.2500 0.5000
Ba 0.2500 0.7500 0.5000
Ba 0.5000 0.5000 0.0000

=====

Record 4
BaPu2PtN4: relaxed, PBE.

Calculated values
* uncorrected energy: -151.57 eV for the cell shown
* uncorrected formation energy: -0.73 eV/atom
* volume: 16.3 Å³/atom

Cell lengths 3.6596, 6.1963, 12.0497 Å; angles 90.00, 90.00, 107.18 degrees
Site moments in Bohr magnetons follow the coordinates.
Element x y z (fractional)
Pu 0.6332 0.2664 0.0545  4.18
Pu 0.6332 0.2664 0.4455  4.18
Pu 0.3668 0.7336 0.9455  4.18
Pu 0.3668 0.7336 0.5545  4.18
N 0.7537 0.5074 0.5878  -0.20
N 0.7537 0.5074 0.9122  -0.20
N 0.5969 0.1938 0.2500  -0.15
N 0.4031 0.8062 0.7500  -0.15
N 0.2463 0.4926 0.0878  -0.20
N 0.2463 0.4926 0.4122  -0.20
N 0.0000 0.0000 0.5000  -0.27
N 0.0000 0.0000 0.0000  -0.27
Ba 0.9161 0.8321 0.2500  0.03
Ba 0.0839 0.1679 0.7500  0.03
Pt 0.1891 0.3782 0.2500  -0.12
Pt 0.8109 0.6218 0.7500  -0.12

=====

Record 5
BaPtSN2: relaxed, PBE.

Calculated values
* uncorrected energy: -26.88 eV for the cell shown
* uncorrected formation energy: 0.37 eV/atom
* E above lowest polymorph: 0.0000 eV/atom
* volume: 18.0 Å³/atom

Cell lengths 4.2147, 4.2147, 5.0790 Å; angles 90.00, 90.00, 90.00 degrees
Site moments in Bohr magnetons follow the coordinates.
Element x y z (fractional)
Pt 0.0000 0.0000 0.0000  0.52
Ba 0.5000 0.5000 0.5000  0.01
N 0.0000 0.5000 0.0000  0.82
N 0.5000 0.0000 0.0000  0.82
S 0.0000 0.0000 0.5000  0.04

=====

Record 6
BaPtSN2: relaxed, PBE.

Calculated values
* uncorrected energy: -17.79 eV for the cell shown
* uncorrected formation energy: 2.19 eV/atom
* E above lowest polymorph: 1.8183 eV/atom
* volume: 25.3 Å³/atom

Cell lengths 4.5157, 4.5157, 6.2037 Å; angles 90.00, 90.00, 90.00 degrees
Site moments in Bohr magnetons follow the coordinates.
Element x y z (fractional)
Ba 0.0000 0.0000 0.0000  -0.02
N 0.0000 0.5000 0.0000  0.83
N 0.5000 0.0000 0.0000  0.83
S 0.0000 0.0000 0.5000  0.17
Pt 0.5000 0.5000 0.5000  0.57

=====

Record 7
Ba2SbPtN: relaxed, PBE.

Calculated values
* uncorrected energy: -26.00 eV for the cell shown
* uncorrected formation energy: -0.73 eV/atom
* volume: 28.6 Å³/atom

Cell lengths 6.1233, 6.1233, 3.8089 Å; angles 90.00, 90.00, 90.00 degrees
Element x y z (fractional)
Ba 0.5000 0.0000 0.0000
Ba 0.0000 0.5000 0.0000
N 0.0000 0.0000 0.0000
Sb 0.5000 0.5000 0.5000
Pt 0.0000 0.0000 0.5000

=====

Record 8
Ba6Sb2PtN: relaxed, PBE.

Calculated values
* uncorrected energy: -83.80 eV for the cell shown
* uncorrected formation energy: -0.78 eV/atom
* volume: 38.6 Å³/atom

Cell lengths 7.8749, 8.5727, 11.4367 Å; angles 90.00, 89.92, 90.00 degrees
Element x y z (fractional)
Ba 0.0924 0.4718 0.7655
Ba 0.6758 0.2901 0.5458
Ba 0.7939 0.8192 0.5481
Ba 0.7061 0.3192 0.9519
Ba 0.9076 0.5282 0.2345
Ba 0.3242 0.7099 0.4542
Ba 0.8242 0.7901 0.9542
Ba 0.1758 0.2099 0.0458
Ba 0.2939 0.6808 0.0481
Ba 0.4075 0.9718 0.7345
Ba 0.2061 0.1808 0.4519
Ba 0.5925 0.0282 0.2655
Pt 0.0000 0.5000 0.5000
Pt 0.5000 0.0000 0.0000
Sb 0.0311 0.9219 0.2488
Sb 0.5311 0.5781 0.7488
Sb 0.4689 0.4219 0.2512
Sb 0.9689 0.0781 0.7512
N 0.5000 0.0000 0.5000
N 0.0000 0.5000 0.0000